[1]
This record from Alexandria describes a relaxed Dy6YZr crystal. The functional is PBE.

Values from the calculation:
energy of formation from the pure elements = 0.24 eV/atom

Unit cell a=6.3961 b=6.6585 c=6.6770 alpha=116.34 beta=91.99 gamma=102.29
Space group P-1 (No. 2)
Unique sites:
1 Dy 0.2239 0.4608 0.4018
2 Dy 0.2419 0.9861 0.9459
3 Dy 0.2544 0.4828 0.9020
4 Y 0.5000 0.0000 0.5000
5 Zr 0.0000 0.0000 0.5000


[2]
This record from Alexandria describes a relaxed Dy8Y6Zr crystal. The functional is PBE.

Values from the calculation:
energy of formation from the pure elements = 0.12 eV/atom

Unit cell a=9.0135 b=9.0135 c=20.3035 alpha=90.00 beta=90.00 gamma=120.00
Space group R-3 (No. 148, hexagonal axes)
Unique sites:
1 Dy 0.0000 0.0000 0.0760
2 Dy 0.0845 0.5560 0.3055
3 Y 0.0701 0.2520 0.2069
4 Zr 0.0000 0.0000 0.5000


[3]
This record from Alexandria describes a relaxed Dy12Y7Zr crystal. The functional is PBE.

Values from the calculation:
excess energy over the best structure of this formula in the dataset = 510 meV/atom
energy of formation from the pure elements = 0.78 eV/atom

Unit cell a=11.3486 b=11.3486 c=11.3486 alpha=90.00 beta=90.00 gamma=90.00
Space group Im-3m (No. 229)
Unique sites:
1 Dy 0.0000 0.2169 0.2169
2 Y 0.0000 0.0000 0.5000
3 Y 0.2500 0.2500 0.2500
4 Zr 0.0000 0.0000 0.0000


[4]
This record from Alexandria describes a relaxed DyYZr2 crystal. The functional is PBE.

Values from the calculation:
excess energy over the best structure of this formula in the dataset = 14 meV/atom
energy of formation from the pure elements = 0.13 eV/atom

Unit cell a=3.3441 b=3.3441 c=33.0215 alpha=90.00 beta=90.00 gamma=120.00
Space group R-3m (No. 166, hexagonal axes)
Unique sites:
1 Dy 0.0000 0.0000 0.0000
2 Y 0.0000 0.0000 0.5000
3 Zr 0.0000 0.0000 0.2505


[5]
This record from Alexandria describes a relaxed Dy2Y12Zr crystal. The functional is PBE.

Values from the calculation:
energy of formation from the pure elements = 0.11 eV/atom

Unit cell a=6.7764 b=10.8677 c=25.9338 alpha=90.00 beta=92.78 gamma=90.00
Space group C2/m (No. 12)
Unique sites:
1 Dy 0.0360 0.0000 0.2395
2 Dy 0.0476 0.5000 0.2411
3 Y 0.0108 0.2500 0.0647
4 Y 0.1430 0.1716 0.4462
5 Y 0.1611 0.5000 0.4468
6 Y 0.1880 0.1790 0.6670
7 Y 0.1916 0.5000 0.6497
8 Y 0.2169 0.2510 0.8051
9 Y 0.2291 0.5000 0.8784
10 Y 0.2301 0.0000 0.8802
11 Zr 0.2493 0.5000 0.9997


[6]
This record from Alexandria describes a relaxed DyY2Zr crystal. The functional is PBE.

Values from the calculation:
excess energy over the best structure of this formula in the dataset = 19 meV/atom
energy of formation from the pure elements = 0.10 eV/atom

Unit cell a=4.8766 b=4.8766 c=4.8910 alpha=90.00 beta=90.00 gamma=90.00
Space group P4/mmm (No. 123)
Unique sites:
1 Dy 0.0000 0.0000 0.0000
2 Y 0.0000 0.5000 0.5000
3 Zr 0.5000 0.5000 0.0000


[7]
This record from Alexandria describes a relaxed DyY2Zr crystal. The functional is PBE.

Values from the calculation:
excess energy over the best structure of this formula in the dataset = 96 meV/atom
energy of formation from the pure elements = 0.18 eV/atom

Unit cell a=4.0283 b=4.0283 c=7.2617 alpha=90.00 beta=90.00 gamma=90.00
Space group P4/mmm (No. 123)
Unique sites:
1 Dy 0.0000 0.0000 0.0000
2 Y 0.5000 0.5000 0.2735
3 Zr 0.0000 0.0000 0.5000


[8]
This record from Alexandria describes a relaxed Dy6Y8Zr crystal. The functional is PBE.

Values from the calculation:
energy of formation from the pure elements = 0.16 eV/atom

Unit cell a=9.8094 b=9.8094 c=5.7718 alpha=90.00 beta=90.00 gamma=120.00
Space group P-3 (No. 147)
Unique sites:
1 Dy 0.0930 0.6206 0.2560
2 Y 0.0505 0.7818 0.7668
3 Y 0.3333 0.6667 0.7649
4 Zr 0.0000 0.0000 0.5000


no.,DOS at the Fermi energy (states/eV/atom)
1,1.771
2,1.402
3,1.035
4,1.452
5,1.694
6,1.366
7,2.069
8,1.562